Below is a relaxed structure of La4TbHo2Tm, with properties calculated at the PBE level.

abc: 5.2517 5.2220 11.1899
angles: 62.17 90.00 90.00
Element x y z (fractional)
La  0.0000  0.2491  0.2513
La  0.0000  0.7509  0.7487
La  0.5000  0.7488  0.2515
La  0.5000  0.2512  0.7485
Ho  0.0000  0.0000  0.0000
Ho  0.5000  0.0000  0.5000
Tm  0.0000  0.5000  0.5000
Tb  0.5000  0.5000  0.0000

## Properties
symmetry	No. 47
formation energy from the elements	0.02	eV per atom
electronic total energy	-4.724	eV/atom

***

Below is a relaxed structure of La2TbHo4Tm, with properties calculated at the PBE level.

abc: 9.5102 9.5232 11.8535
angles: 128.55 128.49 88.23
Element x y z (fractional)
Ho  0.7465  0.2576  0.5023
Ho  0.2492  0.2513  0.0064
Ho  0.2424  0.7535  0.9978
Ho  0.7509  0.7487  0.9937
Ho  0.7578  0.2466  0.0023
Ho  0.2487  0.2508  0.4936
Ho  0.2534  0.7422  0.4976
Ho  0.7513  0.7492  0.5063
Tb  0.0000  0.5000  0.0000
Tb  0.0000  0.5000  0.5001
Tm  0.0000  0.9999  0.9999
Tm  0.5001  0.5000  0.5000
La  0.5000  0.0000  0.9999
La  0.5000  0.5000  0.0000
La  0.0000  0.0000  0.5000
La  0.5000  0.0000  0.5001

## Properties
symmetry	No. 12
formation energy from the elements	0.41	eV per atom
electronic total energy	-4.246	eV/atom

***

Below is a relaxed structure of LaTbHo4Tm2, with properties calculated at the PBE level.

abc: 10.0424 10.0049 12.2623
angles: 144.65 114.09 90.01
Element x y z (fractional)
Tb  0.0001  0.5001  0.0000
Tb  0.0000  0.5000  0.5000
Ho  0.2507  0.2515  0.9977
Ho  0.7492  0.7498  0.4960
Ho  0.2509  0.2504  0.5042
Ho  0.7491  0.2422  0.4960
Ho  0.7493  0.7485  0.0024
Ho  0.2508  0.7577  0.5039
Ho  0.7493  0.2563  0.0024
Ho  0.2507  0.7437  0.9975
La  0.5000  0.5000  0.5000
La  0.9999  0.9999  0.9999
Tm  0.0000  0.0000  0.5000
Tm  0.4999  0.4999  0.0000
Tm  0.5001  0.0001  0.0000
Tm  0.5000  0.0000  0.5000

## Properties
symmetry	No. 10
formation energy from the elements	0.02	eV per atom
electronic total energy	-4.578	eV/atom

***

Below is a relaxed structure of LaTbHo2Tm, with properties calculated at the PBE level.

abc: 7.2197 8.4084 7.1138
angles: 126.23 90.00 90.00
Element x y z (fractional)
Ho  0.0000  0.6894  0.0000
Ho  0.5000  0.3106  0.0000
Ho  0.0000  0.3106  0.0000
Ho  0.5000  0.6894  0.0000
Tb  0.7500  0.9993  0.9985
Tb  0.2500  0.0007  0.0015
La  0.2500  0.7326  0.4653
La  0.7500  0.2674  0.5347
Tm  0.2500  0.2821  0.5642
Tm  0.7500  0.7179  0.4358

## Properties
symmetry	No. 63
formation energy from the elements	0.37	eV per atom
electronic total energy	-4.269	eV/atom

***

Below is a relaxed structure of La5TbHo2Tm, with properties calculated at the PBE level.

abc: 5.5058 11.1844 10.6262
angles: 90.00 90.00 104.25
Element x y z (fractional)
Ho  0.1128  0.2255  0.2615
Ho  0.1132  0.2265  0.7545
Ho  0.8872  0.7745  0.7615
Ho  0.8868  0.7735  0.2545
Tb  0.7919  0.5838  0.5086
Tb  0.2081  0.4162  0.0086
La  0.5002  0.0003  0.7579
La  0.9972  0.9943  0.5079
La  0.4998  0.9997  0.2579
La  0.7198  0.4397  0.1988
La  0.2796  0.5592  0.3186
La  0.3762  0.7524  0.0080
La  0.2802  0.5603  0.6988
La  0.6238  0.2476  0.5080
La  0.7204  0.4408  0.8186
La  0.0028  0.0057  0.0079
Tm  0.6005  0.2010  0.0081
Tm  0.3995  0.7990  0.5081

## Properties
symmetry	No. 36
formation energy from the elements	0.13	eV per atom
electronic total energy	-4.639	eV/atom

***

Below is a relaxed structure of La2Tb2Ho4Tm, with properties calculated at the PBE level.

abc: 3.6117 9.5259 9.5829
angles: 115.18 90.00 100.93
Element x y z (fractional)
Ho  0.8146  0.6293  0.6624
Ho  0.5202  0.0404  0.3354
Ho  0.1854  0.3707  0.3376
Ho  0.4798  0.9596  0.6646
Tm  0.0000  0.0000  0.0000
La  0.6646  0.3292  0.9988
La  0.3354  0.6708  0.0012
Tb  0.1468  0.2935  0.6621
Tb  0.8532  0.7065  0.3379

## Properties
symmetry	No. 12
formation energy from the elements	0.00	eV per atom
electronic total energy	-4.653	eV/atom

***

Below is a relaxed structure of La3Tb2Ho6Tm, with properties calculated at the PBE level.

abc: 6.2122 6.2122 11.8323
angles: 95.02 95.02 120.01
Element x y z (fractional)
Ho  0.5860  0.9189  0.7559
Ho  0.2519  0.2519  0.7559
Ho  0.4140  0.0811  0.2441
Ho  0.0811  0.4140  0.2441
Ho  0.9189  0.5860  0.7559
Ho  0.7481  0.7481  0.2441
Tb  0.3335  0.6665  0.0000
Tb  0.6665  0.3335  0.0000
La  0.5000  0.5000  0.5000
La  0.1668  0.8332  0.5000
La  0.8332  0.1668  0.5000
Tm  0.0000  0.0000  0.0000

## Properties
symmetry	No. 12
formation energy from the elements	0.02	eV per atom
electronic total energy	-4.642	eV/atom

***

Below is a relaxed structure of LaTb4HoTm2, with properties calculated at the PBE level.

abc: 7.1438 13.5627 13.5459
angles: 149.45 121.77 74.66
Element x y z (fractional)
Tb  0.5790  0.6670  0.4134
Tb  0.0798  0.6665  0.4137
Tb  0.5798  0.1667  0.9137
Tb  0.4213  0.3331  0.5869
Tb  0.9210  0.8333  0.0867
Tb  0.4201  0.8334  0.0864
Tb  0.0789  0.1668  0.9132
Tb  0.9202  0.3334  0.5861
Ho  0.9999  0.5001  0.9999
Ho  0.0003  0.5001  0.5002
Tm  0.4999  0.4999  0.0000
Tm  0.4999  0.9999  0.5000
Tm  0.4999  0.9999  0.9998
Tm  0.9998  0.9999  0.4998
La  0.9999  0.0002  0.0001
La  0.5002  0.4999  0.5000

## Properties
symmetry	No. 2
formation energy from the elements	0.01	eV per atom
electronic total energy	-4.613	eV/atom

***

Below is a relaxed structure of La2Tb6HoTm, with properties calculated at the PBE level.

abc: 9.8793 8.7640 8.7640
angles: 117.95 95.21 95.21
Element x y z (fractional)
Tb  0.4428  0.2607  0.8766
Tb  0.0572  0.1234  0.7393
Tb  0.3804  0.5030  0.2950
Tb  0.6894  0.0210  0.5809
Tb  0.9428  0.8766  0.2607
Tb  0.1894  0.5809  0.0210
Tb  0.6196  0.4970  0.7050
Tb  0.5572  0.7393  0.1234
Tb  0.1196  0.7050  0.4970
Tb  0.3106  0.9790  0.4191
Tb  0.8804  0.2950  0.5030
Tb  0.8106  0.4191  0.9790
Ho  0.7500  0.0134  0.9866
Ho  0.2500  0.9866  0.0134
La  0.0421  0.2932  0.1933
La  0.9579  0.7068  0.8067
La  0.4579  0.8067  0.7068
La  0.5421  0.1933  0.2932
Tm  0.7500  0.5955  0.4045
Tm  0.2500  0.4045  0.5955

## Properties
symmetry	No. 15
formation energy from the elements	0.12	eV per atom
electronic total energy	-4.550	eV/atom

***

Below is a relaxed structure of LaTb2Ho5Tm, with properties calculated at the PBE level.

abc: 8.9079 8.9079 9.7108
angles: 117.30 117.30 90.00
Element x y z (fractional)
Ho  0.9264  0.4264  0.2635
Ho  0.1628  0.0736  0.7365
Ho  0.4264  0.3372  0.2635
Ho  0.5000  0.5000  0.0000
Ho  0.8372  0.9264  0.2635
Ho  0.6628  0.1628  0.7365
Ho  0.3372  0.8372  0.2635
Ho  0.0736  0.5736  0.7365
Ho  0.0000  0.0000  0.0000
Ho  0.5736  0.6628  0.7365
La  0.2500  0.2500  0.5000
La  0.7500  0.7500  0.5000
Tb  0.3868  0.8868  0.0000
Tb  0.8868  0.6132  0.0000
Tb  0.6132  0.1132  0.0000
Tb  0.1132  0.3868  0.0000
Tm  0.7500  0.2500  0.5000
Tm  0.2500  0.7500  0.5000

## Properties
symmetry	No. 140
formation energy from the elements	0.29	eV per atom
electronic total energy	-4.331	eV/atom

***

Below is a relaxed structure of La2Tb2HoTm, with properties calculated at the PBE level.

abc: 5.6900 7.0660 9.8636
angles: 90.00 90.00 90.00
Element x y z (fractional)
Tm  0.0000  0.0074  0.4998
Tm  0.0000  0.5074  0.5002
La  0.5000  0.5077  0.9995
La  0.0000  0.2580  0.1793
La  0.5000  0.0077  0.0005
La  0.0000  0.7580  0.8207
Tb  0.5000  0.2576  0.3341
Tb  0.0000  0.2576  0.8334
Tb  0.0000  0.7576  0.1666
Tb  0.5000  0.7576  0.6659
Ho  0.5000  0.2572  0.6568
Ho  0.5000  0.7572  0.3432

## Properties
symmetry	No. 26
formation energy from the elements	0.07	eV per atom
electronic total energy	-4.627	eV/atom

***

Below is a relaxed structure of La3Tb2HoTm6, with properties calculated at the PBE level.

abc: 6.1918 6.1918 11.7315
angles: 95.04 95.04 119.99
Element x y z (fractional)
Tm  0.0812  0.4144  0.2445
Tm  0.2520  0.2520  0.7554
Tm  0.7480  0.7480  0.2446
Tm  0.4144  0.0812  0.2445
Tm  0.5856  0.9188  0.7555
Tm  0.9188  0.5856  0.7555
La  0.5000  0.5000  0.5000
La  0.1669  0.8331  0.5000
La  0.8331  0.1669  0.5000
Tb  0.3334  0.6666  0.0000
Tb  0.6666  0.3334  0.0000
Ho  0.0000  0.0000  0.0000

## Properties
symmetry	No. 12
formation energy from the elements	0.03	eV per atom
electronic total energy	-4.595	eV/atom

***

Below is a relaxed structure of LaTb6Ho3Tm2, with properties calculated at the PBE level.

abc: 6.1556 6.1556 11.7995
angles: 94.97 94.97 119.97
Element x y z (fractional)
Ho  0.1672  0.8328  0.5000
Ho  0.8328  0.1672  0.5000
Ho  0.5000  0.5000  0.5000
Tm  0.3333  0.6667  0.0000
Tm  0.6667  0.3333  0.0000
Tb  0.7491  0.7491  0.2522
Tb  0.0842  0.4191  0.2522
Tb  0.5809  0.9158  0.7478
Tb  0.2509  0.2509  0.7478
Tb  0.9158  0.5809  0.7478
Tb  0.4191  0.0842  0.2522
La  0.0000  0.0000  0.0000

## Properties
symmetry	No. 12
formation energy from the elements	0.02	eV per atom
electronic total energy	-4.594	eV/atom

***

Below is a relaxed structure of LaTbHo3Tm, with properties calculated at the PBE level.

abc: 5.8462 6.3861 11.6917
angles: 90.00 90.00 117.24
Element x y z (fractional)
Tb  0.0000  0.0000  0.0000
Tb  0.0000  0.0000  0.5000
Ho  0.6756  0.3511  0.5048
Ho  0.8262  0.6524  0.2500
Ho  0.3244  0.6489  0.0048
Ho  0.6756  0.3511  0.9952
Ho  0.3244  0.6489  0.4952
Ho  0.1738  0.3476  0.7500
Tm  0.8327  0.6655  0.7500
Tm  0.1673  0.3345  0.2500
La  0.4940  0.9881  0.7500
La  0.5060  0.0119  0.2500

## Properties
symmetry	No. 63
formation energy from the elements	0.12	eV per atom
electronic total energy	-4.508	eV/atom

***

Below is a relaxed structure of LaTb2HoTm4, with properties calculated at the PBE level.

abc: 9.4495 9.4495 11.7030
angles: 128.26 128.26 88.69
Last column: magnetic moment on the atom in μB.
Element x y z (fractional)
Tb  0.5000  0.0000  0.5000  0.20
Tb  0.5000  0.0000  0.0000  0.20
Tb  0.5000  0.5000  0.0000  0.12
Tb  0.0000  0.0000  0.5000  0.12
Tm  0.2495  0.7500  0.4997  0.17
Tm  0.2498  0.2512  0.5027  0.17
Tm  0.2500  0.7495  0.9997  0.17
Tm  0.7502  0.7488  0.4973  0.17
Tm  0.7500  0.2505  0.0003  0.17
Tm  0.7512  0.7498  0.0027  0.17
Tm  0.2488  0.2502  0.9973  0.17
Tm  0.7505  0.2500  0.5003  0.17
Ho  0.0000  0.5000  0.0000  0.18
Ho  0.0000  0.5000  0.5000  0.18
La  0.5000  0.5000  0.5000  0.15
La  0.0000  0.0000  0.0000  0.15

## Properties
symmetry	No. 74
formation energy from the elements	0.43	eV per atom
electronic total energy	-4.150	eV/atom

***

Below is a relaxed structure of La2Tb4HoTm, with properties calculated at the PBE level.

abc: 9.5409 9.5409 11.8649
angles: 128.44 128.44 88.32
Element x y z (fractional)
Tb  0.7509  0.7466  0.9934
Tb  0.2417  0.7534  0.9977
Tb  0.2534  0.7417  0.4977
Tb  0.2491  0.2534  0.0066
Tb  0.7583  0.2466  0.0023
Tb  0.7534  0.7491  0.5066
Tb  0.7466  0.2583  0.5023
Tb  0.2466  0.2509  0.4934
La  0.5000  0.0000  0.5000
La  0.0000  0.0000  0.5000
La  0.5000  0.5000  0.0000
La  0.5000  0.0000  0.0000
Ho  0.0000  0.5000  0.0000
Ho  0.0000  0.5000  0.5000
Tm  0.0000  0.0000  0.0000
Tm  0.5000  0.5000  0.5000

## Properties
symmetry	No. 15
formation energy from the elements	0.40	eV per atom
electronic total energy	-4.274	eV/atom

***

Below is a relaxed structure of LaTb2Ho6Tm3, with properties calculated at the PBE level.

abc: 6.1322 6.1322 11.7342
angles: 94.99 94.99 119.96
Element x y z (fractional)
Tm  0.5000  0.5000  0.5000
Tm  0.1669  0.8331  0.5000
Tm  0.8331  0.1669  0.5000
Tb  0.6666  0.3334  0.0000
Tb  0.3334  0.6666  0.0000
Ho  0.9142  0.5798  0.7458
Ho  0.2488  0.2488  0.7456
Ho  0.0858  0.4202  0.2542
Ho  0.7512  0.7512  0.2544
Ho  0.4202  0.0858  0.2542
Ho  0.5798  0.9142  0.7458
La  0.0000  0.0000  0.0000

## Properties
symmetry	No. 12
formation energy from the elements	0.02	eV per atom
electronic total energy	-4.565	eV/atom

***

Below is a relaxed structure of La3TbHo2Tm6, with properties calculated at the PBE level.

abc: 6.1850 6.1850 11.7303
angles: 95.03 95.03 119.98
Element x y z (fractional)
La  0.5000  0.5000  0.5000
La  0.8333  0.1667  0.5000
La  0.1667  0.8333  0.5000
Tm  0.9187  0.5853  0.7557
Tm  0.5853  0.9187  0.7557
Tm  0.7478  0.7478  0.2443
Tm  0.0813  0.4147  0.2443
Tm  0.2522  0.2522  0.7557
Tm  0.4147  0.0813  0.2443
Ho  0.6667  0.3333  0.0000
Ho  0.3333  0.6667  0.0000
Tb  0.0000  0.0000  0.0000

## Properties
symmetry	No. 12
formation energy from the elements	0.03	eV per atom
electronic total energy	-4.590	eV/atom

***

Below is a relaxed structure of La5TbHoTm2, with properties calculated at the PBE level.

abc: 5.4841 11.1863 10.6430
angles: 90.00 90.00 104.19
Element x y z (fractional)
La  0.0010  0.0020  0.0079
La  0.3767  0.7534  0.0081
La  0.9990  0.9980  0.5079
La  0.7196  0.4392  0.1984
La  0.2796  0.5593  0.3193
La  0.4998  0.9996  0.2578
La  0.2804  0.5608  0.6984
La  0.6233  0.2466  0.5081
La  0.5002  0.0004  0.7578
La  0.7204  0.4407  0.8193
Ho  0.6001  0.2003  0.0079
Ho  0.3999  0.7997  0.5079
Tb  0.7891  0.5782  0.5088
Tb  0.2109  0.4218  0.0088
Tm  0.1127  0.2254  0.2574
Tm  0.8873  0.7746  0.7574
Tm  0.8867  0.7733  0.2584
Tm  0.1133  0.2267  0.7584

## Properties
symmetry	No. 36
formation energy from the elements	0.13	eV per atom
electronic total energy	-4.624	eV/atom